A plane-wave DFT calculation with GGA-PBE was carried out for a geometry-optimized KNi6Te4 structure.

Cell lengths 4.148, 4.148, 13.277 Å; angles 98.99, 98.99, 90.00 degrees
Fractional positions:
Ni 0.638 0.138 0.276
K 0.000 0.000 0.000
Te 0.806 0.806 0.612
Ni 0.250 0.750 0.500
Ni 0.862 0.362 0.724
Te 0.194 0.194 0.388
Ni 0.362 0.862 0.724
Te 0.582 0.582 0.165
Ni 0.138 0.638 0.276
Te 0.418 0.418 0.835
Ni 0.750 0.250 0.500

Computed properties:
ΔE_f (raw) in eV per atom: -0.184
DOS(E_F) in states/eV per cell: 8.68
E in eV for the cell shown: -50.4

A plane-wave DFT calculation with GGA-PBE was carried out for a geometry-optimized KUNiTe4 structure.

Cell lengths 7.307, 6.264, 9.956 Å; angles 90.00, 106.61, 90.00 degrees
Each line ends with the local moment (μB).
Fractional positions:
Te 0.447 0.750 0.163  -0.10
Te 0.572 0.250 0.399  -0.09
K 0.236 0.250 0.051  0.00
K 0.764 0.750 0.949  0.00
Te 0.553 0.250 0.837  -0.10
U 0.270 0.250 0.556  1.73
Ni 0.274 0.750 0.347  -0.23
Te 0.428 0.750 0.601  -0.09
Te 0.992 0.001 0.295  -0.05
Te 0.008 0.999 0.705  -0.05
Ni 0.726 0.250 0.653  -0.23
U 0.730 0.750 0.444  1.73
Te 0.992 0.499 0.295  -0.05
Te 0.008 0.501 0.705  -0.05

Computed properties:
ΔE_f (raw) in eV per atom: -0.559
DOS(E_F) in states/eV per cell: 18.25
E in eV for the cell shown: -69.3

A plane-wave DFT calculation with GGA-PBE was carried out for a geometry-optimized K3U2NiTe6 structure.

Cell lengths 7.613, 7.613, 8.607 Å; angles 98.55, 98.55, 120.01 degrees
Each line ends with the local moment (μB).
Fractional positions:
K 0.828 0.172 0.500  -0.01
U 0.666 0.334 0.000  2.33
Te 0.248 0.248 0.799  -0.10
Te 0.934 0.620 0.802  -0.10
Te 0.752 0.752 0.201  -0.10
K 0.500 0.500 0.500  0.00
Te 0.380 0.066 0.198  -0.10
U 0.334 0.666 0.000  2.33
K 0.172 0.828 0.500  -0.01
Ni 0.000 0.000 0.000  -0.97
Te 0.066 0.380 0.198  -0.10
Te 0.620 0.934 0.802  -0.10

Computed properties:
ΔE_f (raw) in eV per atom: -0.672
DOS(E_F) in states/eV per cell: 18.05
E in eV for the cell shown: -58.6

Please write out number 1 again, unchanged.
A plane-wave DFT calculation with GGA-PBE was carried out for a geometry-optimized KNi6Te4 structure.

Cell lengths 4.148, 4.148, 13.277 Å; angles 98.99, 98.99, 90.00 degrees
Fractional positions:
Ni 0.638 0.138 0.276
K 0.000 0.000 0.000
Te 0.806 0.806 0.612
Ni 0.250 0.750 0.500
Ni 0.862 0.362 0.724
Te 0.194 0.194 0.388
Ni 0.362 0.862 0.724
Te 0.582 0.582 0.165
Ni 0.138 0.638 0.276
Te 0.418 0.418 0.835
Ni 0.750 0.250 0.500

Computed properties:
ΔE_f (raw) in eV per atom: -0.184
DOS(E_F) in states/eV per cell: 8.68
E in eV for the cell shown: -50.4

> Among the records above, which one has the lowest DOS(E_F)?

KNi6Te4

Repeat the first record exactly.
A plane-wave DFT calculation with GGA-PBE was carried out for a geometry-optimized KNi6Te4 structure.

Cell lengths 4.148, 4.148, 13.277 Å; angles 98.99, 98.99, 90.00 degrees
Fractional positions:
Ni 0.638 0.138 0.276
K 0.000 0.000 0.000
Te 0.806 0.806 0.612
Ni 0.250 0.750 0.500
Ni 0.862 0.362 0.724
Te 0.194 0.194 0.388
Ni 0.362 0.862 0.724
Te 0.582 0.582 0.165
Ni 0.138 0.638 0.276
Te 0.418 0.418 0.835
Ni 0.750 0.250 0.500

Computed properties:
ΔE_f (raw) in eV per atom: -0.184
DOS(E_F) in states/eV per cell: 8.68
E in eV for the cell shown: -50.4

> Number 2 is which compound?

KUNiTe4